# MnVRe2

A relaxed structure of MnVRe2 (PBE-GGA, the Alexandria database).

abc: 3.056 4.248 4.248
angles: 90.00 90.00 90.00
Fractional positions:
V 0.500 0.500 0.500
Mn 0.500 0.000 0.000
Re 0.000 0.500 0.000
Re 0.000 0.000 0.500

Output
Total magnetic moment: 2.11 Bohr magnetons per cell
E: -10.899 eV per atom
Fermi-level density of states: 4.35 states/eV/cell
DFT formation energy: -0.103 eV per atom

# Mn4V5Re

A relaxed structure of Mn4V5Re (PBE-GGA, the Alexandria database).

abc: 2.914 2.914 14.567
angles: 90.00 90.00 90.00
Fractional positions:
Mn 0.000 0.000 0.206
Mn 0.000 0.000 0.402
Mn 0.000 0.000 0.794
Mn 0.000 0.000 0.598
V 0.500 0.500 0.696
V 0.500 0.500 0.304
V 0.500 0.500 0.108
V 0.500 0.500 0.500
V 0.500 0.500 0.892
Re 0.000 0.000 0.000

Output
Total magnetic moment: 0.00 Bohr magnetons per cell
E: -9.741 eV per atom
Fermi-level density of states: 5.02 states/eV/cell
DFT formation energy: -0.269 eV per atom

# MnVRe2

A relaxed structure of MnVRe2 (PBE-GGA, the Alexandria database).

abc: 2.689 2.689 9.319
angles: 81.70 81.70 60.00
Fractional positions:
Re 0.909 0.909 0.273
Re 0.091 0.091 0.727
V 0.000 0.000 0.000
Mn 0.500 0.500 0.500

Output
Total magnetic moment: 0.37 Bohr magnetons per cell
E: -10.356 eV per atom
Fermi-level density of states: 5.30 states/eV/cell
DFT formation energy: 0.440 eV per atom

# Mn4VRe

A relaxed structure of Mn4VRe (PBE-GGA, the Alexandria database).

abc: 4.657 4.657 4.657
angles: 60.00 60.00 60.00
Fractional positions:
Mn 0.623 0.623 0.130
Mn 0.130 0.623 0.623
Mn 0.623 0.623 0.623
Mn 0.623 0.130 0.623
Re 0.000 0.000 0.000
V 0.250 0.250 0.250

Output
Total magnetic moment: 0.00 Bohr magnetons per cell
E: -9.799 eV per atom
Fermi-level density of states: 7.14 states/eV/cell
DFT formation energy: -0.092 eV per atom

# MnV5Re6

A relaxed structure of MnV5Re6 (PBE-GGA, the Alexandria database).

abc: 4.288 6.078 7.427
angles: 114.16 106.78 90.00
Fractional positions:
Re 0.500 0.748 0.000
Re 0.500 0.252 0.000
Re 0.833 0.084 0.666
Re 0.833 0.583 0.666
Re 0.167 0.916 0.334
Re 0.167 0.417 0.334
Mn 0.000 0.000 0.000
V 0.668 0.668 0.335
V 0.337 0.837 0.673
V 0.663 0.163 0.327
V 0.332 0.332 0.665
V 0.000 0.500 0.000

Output
Total magnetic moment: 2.23 Bohr magnetons per cell
E: -11.049 eV per atom
Fermi-level density of states: 8.87 states/eV/cell
DFT formation energy: -0.262 eV per atom

# Mn2V7Re3

A relaxed structure of Mn2V7Re3 (PBE-GGA, the Alexandria database).

abc: 4.234 4.134 10.138
angles: 101.77 90.00 90.00
Fractional positions:
V 0.500 0.922 0.843
V 0.500 0.078 0.157
V 0.000 0.425 0.850
V 0.000 0.575 0.150
V 0.000 0.717 0.433
V 0.000 0.283 0.567
V 0.000 0.000 0.000
Re 0.500 0.348 0.696
Re 0.500 0.500 0.000
Re 0.500 0.652 0.304
Mn 0.000 0.852 0.703
Mn 0.000 0.148 0.297

Output
Total magnetic moment: 0.00 Bohr magnetons per cell
E: -9.771 eV per atom
Fermi-level density of states: 10.08 states/eV/cell
DFT formation energy: 0.188 eV per atom

# Mn2V4Re

A relaxed structure of Mn2V4Re (PBE-GGA, the Alexandria database).

abc: 4.570 4.570 6.965
angles: 70.85 70.85 90.00
Fractional positions:
V 0.803 0.803 0.394
V 0.197 0.197 0.606
V 0.000 0.500 0.000
V 0.500 0.000 0.000
Mn 0.612 0.612 0.775
Mn 0.388 0.388 0.225
Re 0.000 0.000 0.000

Output
Total magnetic moment: 0.92 Bohr magnetons per cell
E: -8.531 eV per atom
Fermi-level density of states: 5.71 states/eV/cell
DFT formation energy: 1.078 eV per atom

# MnV4Re3

A relaxed structure of MnV4Re3 (PBE-GGA, the Alexandria database).

abc: 3.007 3.007 12.004
angles: 90.00 90.00 90.00
Fractional positions:
V 0.000 0.000 0.118
V 0.000 0.000 0.372
V 0.000 0.000 0.628
V 0.000 0.000 0.882
Re 0.500 0.500 0.755
Re 0.500 0.500 0.500
Re 0.500 0.500 0.245
Mn 0.500 0.500 0.000

Output
Total magnetic moment: 0.00 Bohr magnetons per cell
E: -10.686 eV per atom
Fermi-level density of states: 4.50 states/eV/cell
DFT formation energy: -0.312 eV per atom

# MnV2Re

A relaxed structure of MnV2Re (PBE-GGA, the Alexandria database).

abc: 6.615 6.615 5.326
angles: 51.61 51.61 90.00
Fractional positions:
Re 0.750 0.250 0.500
Re 0.000 0.000 0.000
Mn 0.250 0.750 0.500
Mn 0.500 0.500 0.000
V 0.146 0.625 0.250
V 0.375 0.396 0.750
V 0.875 0.854 0.750
V 0.604 0.125 0.250

Output
Total magnetic moment: 0.60 Bohr magnetons per cell
E: -9.454 eV per atom
Fermi-level density of states: 9.51 states/eV/cell
DFT formation energy: 0.509 eV per atom

# ZrMnVRe

A relaxed structure of ZrMnVRe (PBE-GGA, the Alexandria database).

abc: 4.415 4.415 4.415
angles: 60.00 60.00 60.00
Fractional positions:
V 0.250 0.250 0.250
Mn 0.000 0.000 0.000
Re 0.500 0.500 0.500
Zr 0.750 0.750 0.750

Output
Total magnetic moment: 0.46 Bohr magnetons per cell
E: -9.917 eV per atom
Fermi-level density of states: 3.11 states/eV/cell
DFT formation energy: -0.095 eV per atom

# MnRe2W

A relaxed structure of MnRe2W (PBE-GGA, the Alexandria database).

abc: 3.871 3.883 3.883
angles: 90.00 90.00 90.00
Fractional positions:
Re 0.000 0.000 0.000
Re 0.000 0.500 0.500
Mn 0.500 0.000 0.500
W 0.500 0.500 0.000

Output
Total magnetic moment: 1.64 Bohr magnetons per cell
E: -11.620 eV per atom
Fermi-level density of states: 3.66 states/eV/cell
DFT formation energy: 0.135 eV per atom

# MnRe2W

A relaxed structure of MnRe2W (PBE-GGA, the Alexandria database).

abc: 2.687 2.687 8.571
angles: 90.00 90.00 109.07
Fractional positions:
Re 0.000 0.000 0.987
Re 0.500 0.500 0.249
W 0.000 0.000 0.511
Mn 0.500 0.500 0.753

Output
Total magnetic moment: 1.71 Bohr magnetons per cell
E: -11.589 eV per atom
Fermi-level density of states: 3.24 states/eV/cell
DFT formation energy: 0.165 eV per atom

# MnRe2W

A relaxed structure of MnRe2W (PBE-GGA, the Alexandria database).

abc: 5.090 5.090 5.090
angles: 144.22 129.19 63.69
Fractional positions:
W 0.750 0.250 0.500
Re 0.500 0.500 0.000
Re 0.000 0.000 0.000
Mn 0.250 0.750 0.500

Output
Total magnetic moment: 2.45 Bohr magnetons per cell
E: -11.620 eV per atom
Fermi-level density of states: 4.25 states/eV/cell
DFT formation energy: 0.135 eV per atom

# Mn2ReW

A relaxed structure of Mn2ReW (PBE-GGA, the Alexandria database).

abc: 3.062 3.062 5.826
angles: 90.00 90.00 90.00
Fractional positions:
W 0.500 0.500 0.767
Re 0.000 0.000 0.484
Mn 0.500 0.500 0.243
Mn 0.000 0.000 0.006

Output
Total magnetic moment: 3.21 Bohr magnetons per cell
E: -10.856 eV per atom
Fermi-level density of states: 3.16 states/eV/cell
DFT formation energy: 0.080 eV per atom

# Mn2ReW

A relaxed structure of Mn2ReW (PBE-GGA, the Alexandria database).

abc: 4.896 4.896 4.896
angles: 142.49 128.59 65.36
Fractional positions:
Re 0.250 0.750 0.500
W 0.750 0.250 0.500
Mn 0.500 0.500 0.000
Mn 0.000 0.000 0.000

Output
Total magnetic moment: 3.50 Bohr magnetons per cell
E: -10.844 eV per atom
Fermi-level density of states: 3.38 states/eV/cell
DFT formation energy: 0.091 eV per atom

# MnRe2W

A relaxed structure of MnRe2W (PBE-GGA, the Alexandria database).

abc: 4.379 2.674 5.120
angles: 80.89 90.00 90.00
Fractional positions:
Mn 0.500 0.750 0.750
Re 0.000 0.004 0.992
Re 0.000 0.496 0.508
W 0.500 0.250 0.250

Output
Total magnetic moment: 2.71 Bohr magnetons per cell
E: -11.650 eV per atom
Fermi-level density of states: 3.12 states/eV/cell
DFT formation energy: 0.105 eV per atom

# Mn2ReW

A relaxed structure of Mn2ReW (PBE-GGA, the Alexandria database).

abc: 4.970 4.970 4.970
angles: 144.00 129.78 63.33
Fractional positions:
Re 0.498 0.498 0.000
Mn 0.249 0.749 0.500
Mn 0.002 0.002 0.000
W 0.751 0.251 0.500

Output
Total magnetic moment: 3.24 Bohr magnetons per cell
E: -10.820 eV per atom
Fermi-level density of states: 4.17 states/eV/cell
DFT formation energy: 0.115 eV per atom

# MnRe2W

A relaxed structure of MnRe2W (PBE-GGA, the Alexandria database).

abc: 4.350 2.676 5.159
angles: 79.27 90.00 90.00
Fractional positions:
W 0.000 0.503 0.507
Re 0.500 0.267 0.247
Re 0.000 0.002 0.995
Mn 0.500 0.729 0.751

Output
Total magnetic moment: 2.40 Bohr magnetons per cell
E: -11.642 eV per atom
Fermi-level density of states: 3.59 states/eV/cell
DFT formation energy: 0.112 eV per atom

# Mn2ReW

A relaxed structure of Mn2ReW (PBE-GGA, the Alexandria database).

abc: 2.686 2.686 7.365
angles: 90.00 90.00 90.00
Fractional positions:
Mn 0.500 0.500 0.228
Mn 0.000 0.000 0.031
W 0.500 0.500 0.770
Re 0.000 0.000 0.471

Output
Total magnetic moment: 0.01 Bohr magnetons per cell
E: -10.781 eV per atom
Fermi-level density of states: 5.45 states/eV/cell
DFT formation energy: 0.154 eV per atom

# MnRe2W

A relaxed structure of MnRe2W (PBE-GGA, the Alexandria database).

abc: 4.732 4.732 4.750
angles: 80.02 80.02 33.90
Fractional positions:
Mn 0.254 0.254 0.247
W 0.505 0.505 0.490
Re 0.747 0.747 0.759
Re 0.995 0.995 0.004

Output
Total magnetic moment: 1.22 Bohr magnetons per cell
E: -11.580 eV per atom
Fermi-level density of states: 3.66 states/eV/cell
DFT formation energy: 0.174 eV per atom